(1)
A plane-wave DFT calculation with PBE was carried out for an optimized crystal structure of MnHgCl5.

Computed properties:
ΔE_f (raw) ... -5.2 eV/f.u.
Total energy ... -0.2507 Ry per atom
Size of the total moment ... 4.00 μB/f.u.
Space group ... C2/c, No. 15

Cell lengths 6.960, 7.381, 9.041 Å; angles 81.89, 72.60, 61.87 degrees
Atoms (fractional coordinates):
Mn 0.000 0.000 0.000
Mn 0.000 0.000 0.500
Hg 0.530 0.940 0.750
Hg 0.470 0.060 0.250
Cl 0.325 0.716 0.883
Cl 0.590 0.191 0.530
Cl 0.042 0.284 0.383
Cl 0.931 0.139 0.750
Cl 0.219 0.191 0.970
Cl 0.781 0.809 0.030
Cl 0.069 0.861 0.250
Cl 0.958 0.716 0.617
Cl 0.410 0.809 0.470
Cl 0.675 0.284 0.117

---

(2)
A plane-wave DFT calculation with PBE was carried out for an optimized crystal structure of TeBrN3.

Computed properties:
ΔE_f (raw) ... 12.6 eV/f.u.
Total energy ... -0.2527 Ry per atom
Size of the total moment ... 0.00 μB/f.u.
Space group ... Pm-3m, No. 221

Cell lengths 3.972, 3.972, 3.972 Å; angles 90.00, 90.00, 90.00 degrees
Atoms (fractional coordinates):
Te 0.500 0.500 0.500
Br 0.000 0.000 0.000
N 0.000 0.500 0.000
N 0.000 0.000 0.500
N 0.500 0.000 0.000